## w
Fe3O5F (PBE+U, optimized geometry); space group = Pmn2_1, No. 31
1.0
4.6298 0.0000 0.0000
0.0000 4.6369 0.0000
0.0000 0.0000 9.0298
Fe O F
6 10 2
Direct
0.0101 0.7479 0.6727
0.9828 0.7253 0.0000
0.0101 0.7479 0.3273
0.5101 0.2521 0.8273
0.4828 0.2747 0.5000
0.5101 0.2521 0.1727
0.1936 0.5472 0.8394
0.1936 0.5472 0.1606
0.1875 0.5762 0.5000
0.6936 0.4528 0.6606
0.6875 0.4238 0.0000
0.6936 0.4528 0.3394
0.3078 0.0648 0.6637
0.3078 0.0648 0.3363
0.8078 0.9352 0.8363
0.8078 0.9352 0.1637
0.3040 0.0415 0.0000
0.8040 0.9585 0.5000

## x
Fe3O5F (PBE+U, optimized geometry); space group = P1, No. 1
1.0
5.5003 0.0101 -0.0436
1.6612 5.2199 -0.0165
2.2208 1.6174 6.5829
Fe O F
6 10 2
Direct
0.3209 0.3351 0.1752
0.6571 0.6658 0.3331
0.3407 0.3511 0.6715
0.6721 0.6791 0.8300
0.9879 0.9946 0.4875
0.0208 0.9750 0.0073
0.3526 0.9676 0.3341
0.0258 0.6515 0.6690
0.7696 0.7655 0.0377
0.4314 0.4361 0.3750
0.2349 0.2299 0.9628
0.5714 0.5749 0.6279
0.8849 0.8870 0.2950
0.6416 0.0319 0.6688
0.9565 0.3590 0.3361
0.3236 0.6860 0.9953
0.1009 0.1078 0.7007
0.7073 0.3020 0.9932

Which structure is most stable? w, by 6.7 kJ/mol of atoms over the runner-up.

## w
Fe3O5F (PBE+U, optimized geometry); space group = Amm2, No. 38
1.0
4.6578 -0.0251 0.0000
-0.2370 4.6519 0.0000
0.0000 0.0000 9.0155
Fe O F
6 10 2
Direct
0.9869 0.0131 0.6614
0.9869 0.0131 0.3386
0.9889 0.0111 0.0000
0.5014 0.4986 0.5000
0.5177 0.4823 0.8326
0.5177 0.4823 0.1674
0.7933 0.2067 0.5000
0.8165 0.1835 0.1720
0.8165 0.1835 0.8280
0.2995 0.3094 0.6696
0.2995 0.3094 0.3304
0.3167 0.2980 0.0000
0.6906 0.7005 0.6696
0.6906 0.7005 0.3304
0.7020 0.6833 0.0000
0.1732 0.8268 0.5000
0.2011 0.7989 0.8361
0.2011 0.7989 0.1639

## x
Fe3O5F (PBE+U, optimized geometry); space group = Cm, No. 8
1.0
5.4956 -0.0167 0.0027
1.8024 5.1916 0.0027
2.4277 1.7214 6.7385
Fe O F
6 10 2
Direct
0.6751 0.6751 0.8453
0.3281 0.3281 0.6654
0.6545 0.6545 0.3185
0.3304 0.3304 0.1647
0.0049 0.0049 0.5088
0.0069 0.0069 0.9916
0.6398 0.0310 0.6673
0.9670 0.3574 0.3298
0.2306 0.2306 0.9537
0.7802 0.7802 0.0350
0.4251 0.4251 0.3816
0.1088 0.1088 0.7003
0.3574 0.9670 0.3298
0.0310 0.6398 0.6673
0.6944 0.3089 0.0040
0.3089 0.6944 0.0040
0.8939 0.8939 0.3023
0.5629 0.5629 0.6309

## y
Fe3O5F (PBE+U, optimized geometry); space group = C2/m, No. 12
1.0
3.1672 4.4613 0.0224
-3.1672 4.4613 0.0224
0.0000 2.9239 6.7300
Fe O F
6 10 2
Direct
0.3292 0.3292 0.1593
0.6555 0.6555 0.3361
0.3445 0.3445 0.6639
0.6708 0.6708 0.8407
0.0000 0.0000 0.5000
0.0000 0.0000 0.0000
0.3600 0.9659 0.3329
0.0341 0.6400 0.6671
0.7696 0.7696 0.0472
0.4357 0.4357 0.3779
0.2304 0.2304 0.9528
0.5643 0.5643 0.6221
0.6400 0.0341 0.6671
0.9659 0.3600 0.3329
0.3024 0.6976 0.0000
0.6976 0.3024 0.0000
0.1095 0.1095 0.6951
0.8905 0.8905 0.3049

Which structure is most stable? w, by 3.0 kJ/mol of atoms over the runner-up.

## w
Fe2OF2 (PBE+U, optimized geometry); space group = I4/mmm, No. 139
1.0
3.9741 0.0000 0.0000
0.0000 3.9741 0.0000
1.9871 1.9871 3.6438
Fe O F
2 1 2
Direct
0.7500 0.2500 0.5000
0.2500 0.7500 0.5000
0.0000 0.0000 0.0000
0.3460 0.3460 0.3081
0.6540 0.6540 0.6919

## x
Fe2OF2 (PBE+U, optimized geometry); space group = C2/c, No. 15
1.0
5.4363 -0.0626 0.0643
2.7870 4.6679 0.0643
0.1723 0.0965 14.4322
Fe O F
12 6 12
Direct
0.9715 0.0432 0.6476
0.0432 0.9715 0.1476
0.5958 0.6820 0.8119
0.6505 0.6540 0.5195
0.6820 0.5958 0.3119
0.6540 0.6505 0.0195
0.3460 0.3495 0.9805
0.3180 0.4042 0.6881
0.3495 0.3460 0.4805
0.4042 0.3180 0.1881
0.9568 0.0285 0.8524
0.0285 0.9568 0.3524
0.6499 0.3817 0.9104
0.3817 0.6499 0.4104
0.6183 0.3501 0.5896
0.3501 0.6183 0.0896
0.2231 0.7769 0.7500
0.7769 0.2231 0.2500
0.9758 0.3680 0.7447
0.3680 0.9758 0.2447
0.3288 0.9972 0.9218
0.9972 0.3288 0.4218
0.3218 0.0562 0.5787
0.0562 0.3218 0.0787
0.9438 0.6782 0.9213
0.6782 0.9438 0.4213
0.0028 0.6712 0.5782
0.6712 0.0028 0.0782
0.6320 0.0242 0.7553
0.0242 0.6320 0.2553

Which structure is most stable? x, by 70.7 kJ/mol of atoms over the runner-up.

## w
Fe6O5F7 (PBE+U, optimized geometry); space group = P1, No. 1
1.0
4.7275 0.0450 0.0395
0.1643 5.6912 -0.0034
0.1500 0.6206 7.7816
Fe O F
6 5 7
Direct
0.5301 0.8470 0.6737
0.5394 0.5191 0.0026
0.4590 0.1838 0.3475
0.9907 0.3150 0.6750
0.0143 0.6533 0.3101
0.9771 0.9920 0.9947
0.7947 0.0374 0.7861
0.8000 0.7257 0.0976
0.6931 0.5385 0.7677
0.2965 0.1131 0.5827
0.3110 0.4790 0.2129
0.8196 0.3721 0.4332
0.7129 0.2092 0.1052
0.7146 0.8593 0.4364
0.2831 0.7919 0.8967
0.1806 0.9659 0.2160
0.1960 0.6189 0.5548
0.1875 0.2790 0.9072

## x
Fe6O5F7 (PBE+U, optimized geometry); space group = P1, No. 1
1.0
-3.3978 0.8985 -3.1536
-0.4417 -5.5199 -1.2494
-5.5028 -1.4224 5.4224
Fe O F
6 5 7
Direct
0.5583 0.8193 0.6546
0.5089 0.5150 0.0103
0.4944 0.1686 0.3369
0.9821 0.3375 0.6825
0.9980 0.6662 0.3206
0.9652 0.9814 0.9818
0.7923 0.0271 0.7707
0.8066 0.7046 0.1018
0.6714 0.5322 0.7786
0.7008 0.8826 0.4236
0.3112 0.4565 0.2370
0.8022 0.3751 0.4267
0.7086 0.2020 0.1069
0.3017 0.1377 0.5652
0.2943 0.7983 0.8978
0.2044 0.9651 0.2249
0.1944 0.6505 0.5572
0.2052 0.2804 0.9230

Which structure is most stable? x, by 11.8 kJ/mol of atoms over the runner-up.

## w
Fe4OF7 (PBE+U, optimized geometry); space group = C2/c, No. 15
1.0
-5.2609 1.2494 2.1238
-3.6028 -4.3743 -1.2785
1.6438 -4.4446 8.1478
Fe O F
8 2 14
Direct
0.3544 0.8824 0.6313
0.6456 0.1176 0.3687
0.7666 0.2334 0.7500
0.5000 0.0000 0.0000
0.0000 0.5000 0.5000
0.8824 0.3544 0.1313
0.1176 0.6456 0.8687
0.2334 0.7666 0.2500
0.0645 0.9355 0.7500
0.9355 0.0645 0.2500
0.3078 0.1895 0.4979
0.4536 0.5464 0.7500
0.6922 0.8105 0.5021
0.2872 0.7648 0.0238
0.5275 0.0199 0.7756
0.7648 0.2872 0.5238
0.0199 0.5275 0.2756
0.7128 0.2352 0.9762
0.4725 0.9801 0.2244
0.9801 0.4725 0.7244
0.2352 0.7128 0.4762
0.8105 0.6922 0.0021
0.5464 0.4536 0.2500
0.1895 0.3078 0.9979

## x
Fe4OF7 (PBE+U, optimized geometry); space group = P2_1, No. 4
1.0
-0.5783 4.4626 -1.6747
-4.6464 -1.7332 -3.0140
-7.5563 1.8687 7.5890
Fe O F
8 2 14
Direct
0.5012 0.2472 0.5051
0.4930 0.7558 0.9904
0.4828 0.5195 0.7552
0.5117 0.0112 0.2456
0.9828 0.4805 0.2448
0.0012 0.7528 0.4949
0.0117 0.9888 0.7544
0.9930 0.2442 0.0096
0.8086 0.2406 0.1819
0.3086 0.7594 0.8181
0.7916 0.7184 0.6700
0.8049 0.4691 0.4185
0.8064 0.9747 0.9273
0.7123 0.7253 0.1734
0.6826 0.9643 0.4305
0.7090 0.4692 0.9141
0.6960 0.2410 0.6826
0.3064 0.0253 0.0727
0.3049 0.5309 0.5815
0.2916 0.2816 0.3300
0.2123 0.2747 0.8266
0.2090 0.5308 0.0859
0.1960 0.7590 0.3174
0.1826 0.0357 0.5695

## y
Fe4OF7 (PBE+U, optimized geometry); space group = Amm2, No. 38
1.0
3.1871 -6.8046 0.0000
3.1871 6.8046 0.0000
0.0000 0.0000 6.8824
Fe O F
8 2 14
Direct
0.5259 0.0145 0.0000
0.9855 0.4741 0.0000
0.7492 0.2508 0.5000
0.2449 0.7551 0.5000
0.4965 0.5035 0.0000
0.9958 0.0042 0.0000
0.7335 0.7205 0.5000
0.2795 0.2665 0.5000
0.8486 0.1514 0.0000
0.6016 0.3984 0.5000
0.3462 0.6538 0.0000
0.4944 0.9946 0.2929
0.0054 0.5056 0.2929
0.4944 0.9946 0.7071
0.7455 0.7467 0.2060
0.2533 0.2545 0.2060
0.0054 0.5056 0.7071
0.6462 0.3538 0.0000
0.1537 0.8463 0.0000
0.3951 0.6049 0.5000
0.9051 0.0949 0.5000
0.0955 0.9045 0.5000
0.7455 0.7467 0.7940
0.2533 0.2545 0.7940

## z
Fe4OF7 (PBE+U, optimized geometry); space group = C2/m, No. 12
1.0
3.6081 -6.9169 -1.6442
5.6928 -3.8098 4.0795
-2.2275 -5.1995 3.6338
Fe O F
8 2 14
Direct
0.8789 0.8789 0.1525
0.3736 0.3736 0.6286
0.6264 0.6264 0.3714
0.0000 0.0000 0.5000
0.5000 0.5000 0.0000
0.2379 0.2379 0.2659
0.7621 0.7621 0.7341
0.1211 0.1211 0.8475
0.8845 0.8845 0.4445
0.1155 0.1155 0.5555
0.8818 0.8818 0.8293
0.3686 0.3686 0.9395
0.2986 0.7014 0.5000
0.7014 0.2986 0.5000
0.9552 0.5469 0.2427
0.2032 0.7968 0.0000
0.6314 0.6314 0.0605
0.3672 0.3672 0.3301
0.1182 0.1182 0.1707
0.6328 0.6328 0.6699
0.5469 0.9552 0.2427
0.7968 0.2032 0.0000
0.0448 0.4531 0.7573
0.4531 0.0448 0.7573

Which structure is most stable? x, by 1.8 kJ/mol of atoms over the runner-up.

## w
Fe4OF7 (PBE+U, optimized geometry); space group = Cc, No. 9
1.0
5.7994 -0.0035 -0.0059
-1.8266 9.9909 0.0048
2.1391 1.4467 5.1829
Fe O F
8 2 14
Direct
0.6349 0.2560 0.8403
0.8679 0.7505 0.6251
0.2426 0.4999 0.7504
0.7569 0.4966 0.2625
0.5042 0.9945 0.4713
0.3855 0.7539 0.1340
0.1161 0.2586 0.3754
0.9824 0.9918 0.0088
0.8112 0.3460 0.4971
0.5903 0.9045 0.2180
0.8413 0.3906 0.9571
0.9113 0.1517 0.7940
0.5759 0.8598 0.7226
0.3349 0.3416 0.9586
0.8848 0.0989 0.3206
0.6373 0.6040 0.5561
0.4050 0.0972 0.7793
0.1185 0.9088 0.6750
0.3488 0.4019 0.4467
0.6889 0.6503 0.0252
0.1586 0.6464 0.5352
0.4330 0.1533 0.2513
0.0718 0.8486 0.2236
0.1635 0.6000 0.0506

## x
Fe4OF7 (PBE+U, optimized geometry); space group = Cmc2_1, No. 36
1.0
-7.4619 0.0421 -1.8708
4.1341 -5.2220 3.8498
-1.4243 3.1121 5.7510
Fe O F
8 2 14
Direct
0.1265 0.8735 0.0077
0.6252 0.3748 0.9737
0.3842 0.1352 0.5098
0.8648 0.6158 0.5098
0.6158 0.8648 0.0098
0.1352 0.3842 0.0098
0.8735 0.1265 0.5077
0.3748 0.6252 0.4737
0.6278 0.3722 0.6965
0.3722 0.6278 0.1965
0.7701 0.7069 0.0004
0.2931 0.2299 0.0004
0.1217 0.8783 0.7065
0.1222 0.8778 0.3143
0.8778 0.1222 0.8143
0.3735 0.6265 0.7793
0.6265 0.3735 0.2793
0.4836 0.0439 0.0008
0.9561 0.5164 0.0008
0.7069 0.7701 0.5004
0.2299 0.2931 0.5004
0.0439 0.4836 0.5008
0.5164 0.9561 0.5008
0.8783 0.1217 0.2065

Which structure is most stable? x, by 0.7 kJ/mol of atoms over the runner-up.